1.
## KRbBa2 (PBE)

Data for a geometry-optimized KRbBa2 structure.

Summary:
Energy of formation (meV/atom): 105
Space-group type: P1, No. 1
Energy (eV for the cell shown): -5.49

Cell: 4.570 7.901 7.909 Å, 89.91 89.89 89.98°
Fractional coordinates of all 4 atoms:
K 0.000 0.000 0.000
Rb 0.498 0.001 0.500
Ba 0.002 0.500 0.333
Ba 0.503 0.500 0.837

---

2.
## RePb2Cl (PBE)

Data for a geometry-optimized RePb2Cl structure.

Summary:
Space-group type: P4/mmm, No. 123
Energy relative to the elements, uncorrected (eV/atom): 0.4783
Energy (eV for the cell shown): -19.80

Cell: 3.370 3.370 8.168 Å, 90.00 90.00 90.00°
Fractional coordinates of all 4 atoms:
Re 0.000 0.000 0.000
Pb 0.500 0.500 0.222
Pb 0.500 0.500 0.778
Cl 0.000 0.000 0.500

---

3.
## Hf2TlSn2 (PBE)

Data for a geometry-optimized Hf2TlSn2 structure.

Summary:
Energy of formation (meV/atom): -77
Space-group type: P4/mbm, No. 127
Energy (eV for the cell shown): -61.32

Cell: 7.751 7.751 4.012 Å, 90.00 90.00 90.00°
Fractional coordinates of all 10 atoms:
Hf 0.139 0.361 0.000
Hf 0.361 0.861 0.000
Hf 0.639 0.139 0.000
Hf 0.861 0.639 0.000
Tl 0.000 0.000 0.000
Tl 0.500 0.500 0.000
Sn 0.162 0.662 0.500
Sn 0.338 0.162 0.500
Sn 0.662 0.838 0.500
Sn 0.838 0.338 0.500

---

4.
## Hf6Ni5Ru (PBE)

Data for a geometry-optimized Hf6Ni5Ru structure.

Summary:
Energy of formation (meV/atom): -476
Space-group type: Immm, No. 71
Energy (eV for the cell shown): -103.61

Cell: 7.869 7.869 7.869 Å, 146.73 132.47 59.25°
Fractional coordinates of all 12 atoms:
Hf 0.081 0.331 0.749
Hf 0.248 0.000 0.248
Hf 0.418 0.669 0.749
Hf 0.582 0.331 0.251
Hf 0.752 0.000 0.752
Hf 0.919 0.669 0.251
Ni 0.000 0.500 0.500
Ni 0.160 0.160 0.000
Ni 0.340 0.840 0.500
Ni 0.660 0.160 0.500
Ni 0.840 0.840 0.000
Ru 0.500 0.500 0.000